Computed, not measured: an optimized crystal structure of CsNbCl3 at the PBE-GGA level of DFT.

Calculated total energy in eV/cell: -89.8
Crystal system: orthorhombic

Cell: 7.287 10.452 7.366 Å, 90.00 90.00 90.00°
Element x y z (fractional)
Cl1 0.482 0.250 0.036
Cl2 0.780 0.517 0.221
Cl3 0.780 0.983 0.221
Cl4 0.280 0.517 0.279
Cl5 0.280 0.983 0.279
Cl6 0.982 0.250 0.464
Cl7 0.018 0.750 0.536
Cl8 0.720 0.017 0.721
Cl9 0.720 0.483 0.721
Cl10 0.220 0.017 0.779
Cl11 0.220 0.483 0.779
Cl12 0.518 0.750 0.964
Cs1 0.026 0.750 0.004
Cs2 0.526 0.750 0.496
Cs3 0.474 0.250 0.504
Cs4 0.974 0.250 0.996
Nb1 0.500 0.000 0.000
Nb2 0.500 0.500 0.000
Nb3 0.000 0.000 0.500
Nb4 0.000 0.500 0.500